Record 1
Entry from Alexandria: an optimized crystal structure of Ho8ZnOs2 (PBE-GGA).

extended XYZ file:
```
11
Lattice="5.4294 0.1536 -0.8469 -1.7251 6.9820 -2.8572 0.1252 -0.0068 7.7377" Properties=species:S:1:pos:R:3 pbc="T T T"
Ho 2.6174 2.4211 -0.9252
Ho 3.1096 0.5622 1.8929
Ho 0.4628 2.6786 1.6861
Ho 5.0998 1.8612 4.3455
Ho 4.1445 5.4694 -1.1244
Ho 3.3519 4.4856 2.3735
Ho 0.7053 6.6118 2.1756
Ho 1.1968 4.7551 4.9902
Zn 0.0222 0.0172 0.0075
Os 1.5614 4.8846 0.0641
Os 2.2491 2.2874 4.0014
```

Output
* energy of formation: -159 meV/atom
* symmetry: Cm (8)


Record 2
Entry from Alexandria: an optimized crystal structure of LiTi2Zn2 (PBE-GGA).

extended XYZ file:
```
10
Lattice="-0.9863 7.3505 -0.4241 -6.3820 -1.0669 -3.6490 -1.4918 -0.0488 2.6234" Properties=species:S:1:pos:R:3 pbc="T T T"
Zn -5.9077 1.7833 -3.3262
Zn -4.8857 5.7119 -2.6721
Zn -1.4606 4.5003 -0.7469
Zn -2.4825 0.5718 -1.4011
Li 0.0000 0.0000 0.0000
Li -3.6841 3.1418 -2.0366
Ti -5.1541 0.4802 -1.1856
Ti -6.7297 3.9745 -2.0166
Ti -3.7060 5.7547 -0.2641
Ti -2.1303 2.2604 0.5669
```

Output
* energy of formation: 56 meV/atom
* symmetry: P4/mbm (127)


Record 3
Entry from Alexandria: an optimized crystal structure of TbHfCuPd (PBE-GGA).

extended XYZ file:
```
4
Lattice="-4.1517 1.1957 2.1024 -4.0487 0.1388 -2.5837 -3.3970 -3.3301 0.6764" Properties=species:S:1:pos:R:3 pbc="T T T"
Tb -8.6981 -1.4967 0.1463
Hf -2.8994 -0.4989 0.0488
Cu 0.0000 0.0000 0.0000
Pd -5.7987 -0.9978 0.0975
```

Output
* energy of formation: -375 meV/atom
* symmetry: F-43m (216)


Record 4
Entry from Alexandria: an optimized crystal structure of GaSNF2 (PBE-GGA).

extended XYZ file:
```
5
Lattice="3.7677 0.0000 0.0000 0.0000 3.7677 0.0000 0.0000 0.0000 4.2858" Properties=species:S:1:pos:R:3 pbc="T T T"
S 1.8839 1.8839 2.1429
N 0.0000 0.0000 2.1429
Ga 0.0000 0.0000 0.0000
F 0.0000 1.8839 0.0000
F 1.8839 0.0000 0.0000
```

Output
* symmetry: P4/mmm (123)
* raw formation energy: -298 meV/atom


What are the magnetic moment values for these records? In order: 0.0 0.0 0.0 0.7 Bohr magnetons per cell.
What are the DOS(E_F) values for these records? In order: 10.0 5.6 3.1 1.9 states/eV/f.u..